Entry 1:
The following is a DFT calculation (PBE-GGA) of a relaxed structure of Ho3Ni4Ir4.

Unit cell a=6.334 b=6.334 c=6.334 alpha=109.47 beta=109.47 gamma=109.47
Atoms (fractional coordinates):
1 Ni 0.000 0.230 0.000
2 Ni 0.000 0.000 0.230
3 Ni 0.230 0.000 0.000
4 Ni 0.770 0.770 0.770
5 Ho 0.500 0.500 0.000
6 Ho 0.000 0.500 0.500
7 Ho 0.500 0.000 0.500
8 Ir 0.000 0.592 0.000
9 Ir 0.408 0.408 0.408
10 Ir 0.000 0.000 0.592
11 Ir 0.592 0.000 0.000

Output
ρ = 12.7 Mg/m³
SG = I-43m
Formation energy from the elements = -24 kJ per mole of atoms



Entry 2:
The following is a DFT calculation (PBE-GGA) of a relaxed structure of HoNi2Ir.

Unit cell a=4.344 b=5.231 c=4.038 alpha=130.38 beta=90.01 gamma=90.00
Atoms (fractional coordinates):
1 Ir 0.500 0.000 0.000
2 Ho 0.500 0.500 0.000
3 Ni 0.000 0.193 0.386
4 Ni 0.000 0.807 0.614

Output
ρ = 11.3 Mg/m³
SG = Cmmm
Formation energy from the elements = 3 kJ per mole of atoms